[1]
# Ac6Ge2Te3P

Ac6Ge2Te3P after structural relaxation (PBE, Alexandria via LeMat-Bulk).

* M_tot: 0.0 μB per formula unit
* space group: No. 12
* formation energy without anion corrections: -1.334 eV/atom

a b c (Å): 4.6277 9.4037 10.4828
angles (deg): 104.37 102.75 90.00
Fractional coordinates of all 12 atoms:
1 Ac 0.3403 0.9032 0.6807
2 Ac 0.6723 0.5682 0.3447
3 Ac 0.6597 0.0968 0.3193
4 Ac 0.0059 0.2322 0.0119
5 Ac 0.9941 0.7678 0.9881
6 Ac 0.3277 0.4318 0.6553
7 Ge 0.8348 0.6698 0.6696
8 Ge 0.1652 0.3302 0.3304
9 Te 0.5000 0.5000 0.0000
10 Te 0.8336 0.1664 0.6672
11 Te 0.1664 0.8336 0.3328
12 P 0.5000 0.0000 0.0000

---

[2]
# Ac8GeTe4P3

Ac8GeTe4P3 after structural relaxation (PBE, Alexandria via LeMat-Bulk).

* M_tot: 0.0 μB per formula unit
* space group: No. 166
* formation energy without anion corrections: -1.483 eV/atom

a b c (Å): 9.1162 9.3523 9.1164
angles (deg): 119.17 120.00 90.00
Fractional coordinates of all 16 atoms:
1 Ac 0.2411 0.7201 0.9791
2 Ac 0.2410 0.7200 0.4820
3 Ac 0.2609 0.2826 0.5218
4 Ac 0.7380 0.7201 0.9791
5 Ac 0.2620 0.2799 0.0209
6 Ac 0.7391 0.7174 0.4782
7 Ac 0.7590 0.2800 0.5180
8 Ac 0.7589 0.2799 0.0209
9 Ge 0.0000 0.5000 0.0000
10 Te 0.5000 0.0000 0.0000
11 Te 0.5000 0.0000 0.5000
12 Te 0.0000 0.0000 0.0000
13 Te 0.0000 0.0000 0.5000
14 P 0.5000 0.5000 0.0000
15 P 0.5000 0.5000 0.5000
16 P 0.0000 0.5000 0.5000

---

[3]
# Ac8Ge3Te3P

Ac8Ge3Te3P after structural relaxation (PBE, Alexandria via LeMat-Bulk).

* M_tot: 1.3 μB per formula unit
* space group: No. 166
* formation energy without anion corrections: -1.125 eV/atom

a b c (Å): 9.2358 9.2358 9.3739
angles (deg): 119.52 90.00 120.00
Fractional coordinates of all 15 atoms:
1 Ac 0.2581 0.5161 0.2742
2 Ac 0.7419 0.4839 0.7258
3 Ac 0.7621 0.5242 0.2806
4 Ac 0.2379 0.4758 0.7194
5 Ac 0.7621 0.0186 0.2806
6 Ac 0.2379 0.9814 0.7194
7 Ac 0.2565 0.0186 0.2806
8 Ac 0.7435 0.9814 0.7194
9 Ge 0.5000 0.0000 0.5000
10 Ge 0.5000 0.5000 0.5000
11 Ge 0.0000 0.5000 0.5000
12 Te 0.0000 0.0000 0.0000
13 Te 0.0000 0.5000 0.0000
14 Te 0.5000 0.5000 0.0000
15 P 0.0000 0.0000 0.5000

---

Which value of M_tot does entry 3 give?
1.3 μB per formula unit

---

What is the formula in the third record?
Ac8Ge3Te3P

---

Which formula does entry 3 have?
Ac8Ge3Te3P

---

Which value of M_tot does entry 3 give?
1.3 μB per formula unit